# MnNi2As

MnNi2As after structural relaxation (GGA-PBEsol, the Alexandria database).

The density of states at the Fermi level is 0.684 states/eV per atom. The value obtained for the energy is -6.95 eV per atom. The calculated formation energy is -0.150 eV per atom.

The space group is P4/mmm (No. 123) and the conventional cell measures 3.557, 3.557 and 3.631 Å, with angles of 90.00, 90.00 and 90.00 degrees. Symmetry generates all atoms from Mn at (0.000, 0.000, 0.000), Ni at (0.000, 0.500, 0.500) and As at (0.500, 0.500, 0.000).

# TaTeRu2

TaTeRu2 after structural relaxation (GGA-PBEsol, the Alexandria database).

The density of states at the Fermi level is 0.928 states/eV per atom. The uncorrected formation energy comes out at 0.119 eV/atom. The value obtained for the energy is -8.99 eV per atom.

The space group is Cm (No. 8) and the conventional cell measures 9.494, 3.074 and 4.528 Å, with angles of 90.00, 98.67 and 90.00 degrees. Symmetry generates all atoms from Ta at (0.000, 0.000, 0.000), Te at (0.235, 0.000, 0.674), Ru at (0.239, 0.500, 0.190) and Ru at (0.481, 0.000, 0.459).

# YTaTl

YTaTl after structural relaxation (GGA-PBEsol, the Alexandria database).

The density of states at the Fermi level is 1.119 states/eV per atom. The value obtained for the energy is -7.14 eV per atom. The calculated formation energy is 0.196 eV per atom.

The space group is I4mm (No. 107) and the conventional cell measures 3.075, 3.075 and 14.199 Å, with angles of 90.00, 90.00 and 90.00 degrees. Symmetry generates all atoms from Y at (0.000, 0.000, 0.000), Ta at (0.000, 0.000, 0.662) and Tl at (0.000, 0.000, 0.320).

# CaZnRh

CaZnRh after structural relaxation (GGA-PBEsol, the Alexandria database).

The density of states at the Fermi level is 0.659 states/eV per atom. The value obtained for the energy is -3.40 eV per atom. The calculated formation energy is 0.552 eV per atom.

The space group is F-43m (No. 216) and the conventional cell measures 6.339, 6.339 and 6.339 Å, with angles of 90.00, 90.00 and 90.00 degrees. Symmetry generates all atoms from Ca at (0.000, 0.000, 0.000), Zn at (0.250, 0.250, 0.250) and Rh at (0.250, 0.250, 0.750).

# Sr3AlGa

Sr3AlGa after structural relaxation (GGA-PBEsol, the Alexandria database).

The density of states at the Fermi level is 1.420 states/eV per atom. The value obtained for the energy is -2.25 eV per atom. The calculated formation energy is 0.338 eV per atom.

The space group is Pm-3m (No. 221) and the conventional cell measures 6.103, 6.103 and 6.103 Å, with angles of 90.00, 90.00 and 90.00 degrees. Symmetry generates all atoms from Sr at (0.000, 0.000, 0.500), Al at (0.000, 0.000, 0.000) and Ga at (0.500, 0.500, 0.500).

# Cd8Ag5

Cd8Ag5 after structural relaxation (GGA-PBEsol, the Alexandria database).

The density of states at the Fermi level is 0.097 states/eV per atom. The value obtained for the energy is -2.09 eV per atom. The calculated formation energy is -0.082 eV per atom.

The space group is I-43m (No. 217) and the conventional cell measures 9.888, 9.888 and 9.888 Å, with angles of 90.00, 90.00 and 90.00 degrees. Symmetry generates all atoms from Cd at (0.034, 0.314, 0.686), Cd at (0.110, 0.110, 0.890), Ag at (0.000, 0.000, 0.357) and Ag at (0.173, 0.173, 0.173).

# Li3Ti3VO8

Li3Ti3VO8 after structural relaxation (GGA-PBEsol, the Alexandria database).

The density of states at the Fermi level is 0.440 states/eV per atom. The uncorrected formation energy comes out at -2.629 eV/atom. The value obtained for the energy is -8.13 eV per atom.

The space group is C2/m (No. 12) and the conventional cell measures 10.041, 5.770 and 5.963 Å, with angles of 90.00, 124.54 and 90.00 degrees. Symmetry generates all atoms from Li at (0.000, 0.000, 0.000), Li at (0.250, 0.250, 0.000), Ti at (0.000, 0.000, 0.500), Ti at (0.250, 0.250, 0.500), V at (0.000, 0.500, 0.500), O at (0.008, 0.243, 0.275), O at (0.238, 0.000, 0.725) and O at (0.248, 0.500, 0.739).

# RbFeF4

RbFeF4 after structural relaxation (GGA-PBEsol, the Alexandria database).

The density of states at the Fermi level is 0.200 states/eV per atom. The uncorrected formation energy comes out at -2.382 eV/atom. The value obtained for the energy is -5.33 eV per atom.

The space group is P4/mmm (No. 123) and the conventional cell measures 3.897, 3.897 and 6.366 Å, with angles of 90.00, 90.00 and 90.00 degrees. Symmetry generates all atoms from Rb at (0.000, 0.000, 0.000), Fe at (0.500, 0.500, 0.500), F at (0.000, 0.500, 0.500) and F at (0.500, 0.500, 0.204).

# SnBPt2C

SnBPt2C after structural relaxation (GGA-PBEsol, the Alexandria database).

The density of states at the Fermi level is 0.407 states/eV per atom. The value obtained for the energy is -5.74 eV per atom. The calculated formation energy is 1.226 eV per atom.

The space group is P4/mmm (No. 123) and the conventional cell measures 3.940, 3.940 and 5.241 Å, with angles of 90.00, 90.00 and 90.00 degrees. Symmetry generates all atoms from Sn at (0.000, 0.000, 0.000), B at (0.000, 0.000, 0.500), Pt at (0.000, 0.500, 0.500) and C at (0.500, 0.500, 0.000).

# YTlSb2

YTlSb2 after structural relaxation (GGA-PBEsol, the Alexandria database).

The density of states at the Fermi level is 0.367 states/eV per atom. The uncorrected formation energy comes out at -0.458 eV/atom. The value obtained for the energy is -5.10 eV per atom.

The space group is I4/mmm (No. 139) and the conventional cell measures 4.754, 4.754 and 9.236 Å, with angles of 90.00, 90.00 and 90.00 degrees. Symmetry generates all atoms from Y at (0.000, 0.000, 0.000), Tl at (0.000, 0.000, 0.500) and Sb at (0.000, 0.500, 0.250).

# AgTeCl

AgTeCl after structural relaxation (GGA-PBEsol, the Alexandria database).

The density of states at the Fermi level is 0.797 states/eV per atom. The uncorrected formation energy comes out at 0.097 eV/atom. The value obtained for the energy is -2.85 eV per atom.

The space group is P3m1 (No. 156) and the conventional cell measures 4.7098, 4.7098 and 3.3702 Å, with angles of 90.00, 90.00 and 120.00 degrees. Symmetry generates all atoms from Ag at (0.0000, 0.0000, 0.0000), Te at (0.6667, 0.3333, 0.7354) and Cl at (0.3333, 0.6667, 0.2761).

# Tl3In2

Tl3In2 after structural relaxation (GGA-PBEsol, the Alexandria database).

The density of states at the Fermi level is 0.465 states/eV per atom. The value obtained for the energy is -2.76 eV per atom. The calculated formation energy is 0.014 eV per atom.

The space group is R-3m (No. 166, hexagonal axes) and the conventional cell measures 3.3831, 3.3831 and 40.7318 Å, with angles of 90.00, 90.00 and 120.00 degrees. Symmetry generates all atoms from Tl at (0.0000, 0.0000, 0.0000), Tl at (0.0000, 0.0000, 0.2011) and In at (0.0000, 0.0000, 0.3990).

# LiCuOF

LiCuOF after structural relaxation (GGA-PBEsol, the Alexandria database).

The density of states at the Fermi level is 0.387 states/eV per atom. The uncorrected formation energy comes out at -1.661 eV/atom. The value obtained for the energy is -5.03 eV per atom.

The space group is P4/mmm (No. 123) and the conventional cell measures 2.759, 2.759 and 4.838 Å, with angles of 90.00, 90.00 and 90.00 degrees. Symmetry generates all atoms from Li at (0.000, 0.000, 0.000), Cu at (0.500, 0.500, 0.500), O at (0.000, 0.000, 0.500) and F at (0.500, 0.500, 0.000).